{"formula": "Rb2MgPtRh", "functional": "PBE-GGA", "state": "optimized geometry", "cell": [[5.666, 0.000, 0.000], [0.000, 5.666, 0.000], [0.000, 0.000, 5.046]], "species": ["Rb", "Rb", "Mg", "Pt", "Rh"], "frac_coords": [[0.000, 0.500, 0.000], [0.500, 0.000, 0.000], [0.000, 0.000, 0.500], [0.500, 0.500, 0.500], [0.000, 0.000, 0.000]], "e_form_kj_per_mol_fu": 374, "magmom_total_mub_per_cell": 0.2}

{"formula": "RbMgPt2Se", "functional": "PBE-GGA", "state": "optimized geometry", "cell": [[4.813, 0.000, 0.000], [0.000, 4.813, 0.000], [0.000, 0.000, 5.796]], "species": ["Rb", "Mg", "Pt", "Pt", "Se"], "frac_coords": [[0.000, 0.000, 0.000], [0.000, 0.000, 0.500], [0.000, 0.500, 0.500], [0.500, 0.000, 0.500], [0.500, 0.500, 0.000]], "e_form_raw_kj_per_mol_atoms": 58.4, "magmom_total_mub_per_cell": 0.0}

{"formula": "RbMg2SnPt", "functional": "PBE-GGA", "state": "optimized geometry", "cell": [[5.247, 0.000, 0.000], [0.000, 5.247, 0.000], [0.000, 0.000, 5.240]], "species": ["Rb", "Mg", "Mg", "Sn", "Pt"], "frac_coords": [[0.000, 0.000, 0.000], [0.000, 0.500, 0.500], [0.500, 0.000, 0.500], [0.500, 0.500, 0.000], [0.500, 0.500, 0.500]], "e_form_kj_per_mol_fu": -140, "magmom_total_mub_per_cell": 0.0}

{"formula": "RbSr2MgPt", "functional": "PBE-GGA", "state": "optimized geometry", "cell": [[6.058, 0.000, 0.000], [0.000, 6.058, 0.000], [0.000, 0.000, 5.411]], "species": ["Rb", "Sr", "Sr", "Mg", "Pt"], "frac_coords": [[0.000, 0.000, 0.000], [0.000, 0.500, 0.500], [0.500, 0.000, 0.500], [0.500, 0.500, 0.000], [0.500, 0.500, 0.500]], "e_form_kj_per_mol_fu": -154, "magmom_total_mub_per_cell": 0.0}

{"formula": "RbMgTiPt2", "functional": "PBE-GGA", "state": "optimized geometry", "cell": [[5.158, 0.000, 0.000], [0.000, 5.158, 0.000], [0.000, 0.000, 4.646]], "species": ["Rb", "Mg", "Ti", "Pt", "Pt"], "frac_coords": [[0.000, 0.000, 0.000], [0.500, 0.500, 0.500], [0.000, 0.000, 0.500], [0.000, 0.500, 0.000], [0.500, 0.000, 0.000]], "e_form_kj_per_mol_fu": 873, "magmom_total_mub_per_cell": 0.0}

{"formula": "RbMg2ZnPt", "functional": "PBE-GGA", "state": "optimized geometry", "cell": [[5.182, 0.000, 0.000], [0.000, 5.182, 0.000], [0.000, 0.000, 5.054]], "species": ["Rb", "Mg", "Mg", "Zn", "Pt"], "frac_coords": [[0.000, 0.000, 0.000], [0.000, 0.500, 0.500], [0.500, 0.000, 0.500], [0.500, 0.500, 0.000], [0.500, 0.500, 0.500]], "e_form_kj_per_mol_fu": -143, "magmom_total_mub_per_cell": 0.0}

{"formula": "MgRePt2", "functional": "PBE-GGA", "state": "optimized geometry", "cell": [[-1.970, 1.970, 3.969], [1.970, -1.970, 3.969], [1.970, 1.970, -3.969]], "species": ["Mg", "Re", "Pt", "Pt"], "frac_coords": [[0.000, 0.000, 0.000], [0.750, 0.250, 0.500], [0.250, 0.750, 0.500], [0.500, 0.500, 0.000]], "e_form_kj_per_mol_fu": -40, "magmom_total_mub_per_cell": 0.0}

{"formula": "MgRePt2", "functional": "PBE-GGA", "state": "optimized geometry", "cell": [[-1.392, 2.300, 5.104], [1.392, -2.300, 5.104], [1.392, 2.300, -5.104]], "species": ["Mg", "Re", "Pt", "Pt"], "frac_coords": [[0.000, 0.000, 0.000], [0.725, 0.225, 0.500], [0.270, 0.770, 0.500], [0.510, 0.510, 0.000]], "e_form_kj_per_mol_fu": -55, "magmom_total_mub_per_cell": 0.0}

{"formula": "Mg2RePt", "functional": "PBE-GGA", "state": "optimized geometry", "cell": [[-1.994, 1.994, 4.068], [1.994, -1.994, 4.068], [1.994, 1.994, -4.068]], "species": ["Mg", "Mg", "Re", "Pt"], "frac_coords": [[0.000, 0.000, 0.000], [0.750, 0.250, 0.500], [0.500, 0.500, 0.000], [0.250, 0.750, 0.500]], "e_form_kj_per_mol_fu": 43, "magmom_total_mub_per_cell": 0.0}

{"formula": "MgRePt2", "functional": "PBE-GGA", "state": "optimized geometry", "cell": [[4.033, 0.000, 0.000], [0.000, 4.033, 0.000], [0.000, 0.000, 3.856]], "species": ["Mg", "Re", "Pt", "Pt"], "frac_coords": [[0.000, 0.000, 0.000], [0.500, 0.500, 0.000], [0.000, 0.500, 0.500], [0.500, 0.000, 0.500]], "e_form_kj_per_mol_fu": -20, "magmom_total_mub_per_cell": 2.0}

{"formula": "Mg2RePt", "functional": "PBE-GGA", "state": "optimized geometry", "cell": [[0.000, 3.212, 3.212], [3.212, 0.000, 3.212], [3.212, 3.212, 0.000]], "species": ["Mg", "Mg", "Re", "Pt"], "frac_coords": [[0.000, 0.000, 0.000], [0.250, 0.250, 0.250], [0.750, 0.750, 0.750], [0.500, 0.500, 0.500]], "e_form_kj_per_mol_fu": 44, "magmom_total_mub_per_cell": 2.5}

{"formula": "MgRePt2", "functional": "PBE-GGA", "state": "optimized geometry", "cell": [[2.789, 0.000, 0.000], [0.000, 2.789, 0.000], [0.000, 0.000, 7.979]], "species": ["Mg", "Re", "Pt", "Pt"], "frac_coords": [[0.000, 0.000, 0.000], [0.000, 0.000, 0.500], [0.500, 0.500, 0.259], [0.500, 0.500, 0.741]], "e_form_kj_per_mol_fu": -154, "magmom_total_mub_per_cell": 0.0}